First-principles (GGA-PBE) data for an optimized crystal structure of La2Cu2Au, as listed in Alexandria via LeMat-Bulk.

Structure (POSCAR):
```
La2Cu2Au
1.0
3.6100 0.0000 0.0000
0.0000 3.6100 0.0000
1.8050 1.8050 8.9625
Cu La Au
2 2 1
Direct
0.7500 0.2500 0.5000 Cu
0.2500 0.7500 0.5000 Cu
0.3895 0.3895 0.2211 La
0.6105 0.6105 0.7789 La
0.0000 0.0000 0.0000 Au
```

Results
**DOS at the Fermi energy**: 4.935 states/eV/f.u.
**Calculated formation energy**: -268 meV/atom

First-principles (GGA-PBE) data for an optimized crystal structure of LaCu5Au7, as listed in Alexandria via LeMat-Bulk.

Structure (POSCAR):
```
LaCu5Au7
1.0
4.9110 0.0000 2.0169
2.4568 6.4705 1.0053
-0.0027 0.0175 6.9939
Cu Au La
5 7 1
Direct
0.5021 0.9939 0.5043 Cu
0.5021 0.5043 0.9939 Cu
0.9997 0.5043 0.9939 Cu
0.7328 0.7672 0.7672 Cu
0.9997 0.9939 0.5043 Cu
0.5055 0.2018 0.7871 Au
0.2743 0.2257 0.2257 Au
0.3345 0.6655 0.6655 Au
0.5055 0.7871 0.2018 Au
0.9961 0.3467 0.6611 Au
0.9961 0.6611 0.3467 Au
0.6543 0.3457 0.3457 Au
0.9971 0.0029 0.0029 La
```

Results
**DOS at the Fermi energy**: 4.777 states/eV/f.u.
**Calculated formation energy**: -253 meV/atom

First-principles (GGA-PBE) data for an optimized crystal structure of LaCuAu11, as listed in Alexandria via LeMat-Bulk.

Structure (POSCAR):
```
LaCuAu11
1.0
5.1909 0.0143 2.1626
2.5566 6.6611 1.0651
-0.0020 0.0072 7.3159
Au La Cu
11 1 1
Direct
0.6418 0.3532 0.3374 Au
0.0000 0.0000 0.5000 Au
0.5067 0.2194 0.7887 Au
0.2955 0.2194 0.2113 Au
0.4933 0.7806 0.2113 Au
0.9792 0.3532 0.6626 Au
0.5000 0.0000 0.5000 Au
0.0000 0.5000 0.0000 Au
0.3582 0.6468 0.6626 Au
0.0208 0.6468 0.3374 Au
0.7045 0.7806 0.7887 Au
0.0000 0.0000 0.0000 La
0.5000 0.5000 0.0000 Cu
```

Results
**DOS at the Fermi energy**: 4.374 states/eV/f.u.
**Calculated formation energy**: -229 meV/atom

First-principles (GGA-PBE) data for an optimized crystal structure of La2CuAu2, as listed in Alexandria via LeMat-Bulk.

Structure (POSCAR):
```
La2CuAu2
1.0
5.8972 0.0000 0.0000
0.0000 5.8972 0.0000
2.9486 2.9486 3.9424
La Au Cu
2 2 1
Direct
0.7500 0.2500 0.5000 La
0.2500 0.7500 0.5000 La
0.6665 0.6665 0.6670 Au
0.3335 0.3335 0.3330 Au
0.0000 0.0000 0.0000 Cu
```

Results
**DOS at the Fermi energy**: 3.838 states/eV/f.u.
**Calculated formation energy**: -372 meV/atom